## Pm6IrRh2 (PBE)

Data for crystalline Pm6IrRh2 at its relaxed geometry.

Summary:
- Formation energy from the elements: -0.511 eV/atom
- Spin magnetization: 0.000 μB/f.u.
- Energy above the most stable polymorph in this dataset: 0.009 eV per atom

abc: 9.630 9.744 10.046
angles: 90.00 90.00 90.00
Space group Immm (No. 71)
One atom of each set of equivalent atoms:
Pm1 0.000 0.193 0.170 x8
Pm2 0.173 0.238 0.500 x8
Pm3 0.185 0.500 0.241 x8
Ir1 0.000 0.500 0.000 x2
Ir2 0.000 0.500 0.500 x2
Rh1 0.000 0.000 0.371 x4
Rh2 0.167 0.000 0.000 x4